Crystalline Mg2Pb at its relaxed geometry, computed with PBE.

Properties
space group = No. 74
calculated total energy = -2.211 eV/atom
formation energy from the elements = 0.27 eV/f.u.

Cell: 3.235 4.762 21.555 Å, 90.00 90.00 90.00°
Element x y z (fractional)
Mg (0.000, 0.250, 0.043)
Mg (0.000, 0.250, 0.190)
Mg (0.000, 0.750, 0.810)
Mg (0.000, 0.750, 0.957)
Mg (0.500, 0.250, 0.310)
Mg (0.500, 0.250, 0.457)
Mg (0.500, 0.750, 0.543)
Mg (0.500, 0.750, 0.690)
Pb (0.000, 0.250, 0.611)
Pb (0.000, 0.750, 0.389)
Pb (0.500, 0.250, 0.889)
Pb (0.500, 0.750, 0.111)



Crystalline Mg5Pb3 at its relaxed geometry, computed with PBE.

Properties
space group = No. 65
calculated total energy = -2.445 eV/atom
formation energy from the elements = -0.46 eV/f.u.
energy above the most stable polymorph in this dataset = 0.0 kJ per mole of atoms

Cell: 8.645 9.797 4.768 Å, 90.00 90.00 90.00°
Element x y z (fractional)
Mg (0.000, 0.000, 0.000)
Mg (0.230, 0.500, 0.500)
Mg (0.250, 0.250, 0.000)
Mg (0.250, 0.750, 0.000)
Mg (0.270, 0.000, 0.500)
Mg (0.500, 0.500, 0.000)
Mg (0.730, 0.000, 0.500)
Mg (0.750, 0.250, 0.000)
Mg (0.750, 0.750, 0.000)
Mg (0.770, 0.500, 0.500)
Pb (0.000, 0.218, 0.500)
Pb (0.000, 0.500, 0.000)
Pb (0.000, 0.782, 0.500)
Pb (0.500, 0.000, 0.000)
Pb (0.500, 0.282, 0.500)
Pb (0.500, 0.718, 0.500)



Crystalline Mg2Pb at its relaxed geometry, computed with PBE.

Properties
space group = No. 63
calculated total energy = -2.324 eV/atom
formation energy from the elements = -0.07 eV/f.u.

Cell: 9.627 5.651 5.614 Å, 90.00 90.00 90.00°
Element x y z (fractional)
Mg (0.168, 0.174, 0.250)
Mg (0.168, 0.826, 0.750)
Mg (0.332, 0.326, 0.750)
Mg (0.332, 0.674, 0.250)
Mg (0.668, 0.326, 0.750)
Mg (0.668, 0.674, 0.250)
Mg (0.832, 0.174, 0.250)
Mg (0.832, 0.826, 0.750)
Pb (0.000, 0.321, 0.750)
Pb (0.000, 0.679, 0.250)
Pb (0.500, 0.179, 0.250)
Pb (0.500, 0.821, 0.750)



Crystalline Mg2Pb3 at its relaxed geometry, computed with PBE.

Properties
space group = No. 63
calculated total energy = -2.861 eV/atom
formation energy from the elements = 0.01 eV/f.u.
energy above the most stable polymorph in this dataset = 4.7 kJ per mole of atoms

Cell: 8.181 8.181 10.131 Å, 90.00 90.00 155.23°
Element x y z (fractional)
Mg (0.000, 0.000, 0.000)
Mg (0.000, 0.000, 0.500)
Mg (0.281, 0.719, 0.750)
Mg (0.719, 0.281, 0.250)
Pb (0.340, 0.660, 0.069)
Pb (0.340, 0.660, 0.431)
Pb (0.470, 0.530, 0.750)
Pb (0.530, 0.470, 0.250)
Pb (0.660, 0.340, 0.569)
Pb (0.660, 0.340, 0.931)